--- one ---
PbSeCl2: relaxed, PBEsol. Values from VASP.

* space-group type: P4/mmm, No. 123
* crystal system: tetragonal

Structure (Quantum ESPRESSO input):
```
&SYSTEM
  ibrav = 0, nat = 4, ntyp = 3
/
ATOMIC_SPECIES
Se 78.96 Se.upf
Cl 35.45 Cl.upf
Pb 207.20 Pb.upf
ATOMIC_POSITIONS crystal
Se 0.5000 0.5000 0.5000
Cl 0.0000 0.0000 0.8250
Cl 0.0000 0.0000 0.1750
Pb 0.5000 0.5000 0.0000
CELL_PARAMETERS angstrom
3.3620 0.0000 0.0000
0.0000 3.3620 0.0000
0.0000 0.0000 9.8576
```

--- two ---
PbSeCl2: relaxed, PBEsol. Values from VASP.

* space-group type: I-4m2, No. 119
* crystal system: tetragonal

Structure (Quantum ESPRESSO input):
```
&SYSTEM
  ibrav = 0, nat = 4, ntyp = 3
/
ATOMIC_SPECIES
Pb 207.20 Pb.upf
Cl 35.45 Cl.upf
Se 78.96 Se.upf
ATOMIC_POSITIONS crystal
Pb 0.5000 0.5000 0.0000
Cl 0.7500 0.2500 0.5000
Cl 0.0000 0.0000 0.0000
Se 0.2500 0.7500 0.5000
CELL_PARAMETERS angstrom
4.0881 0.0000 0.0000
0.0000 4.0881 0.0000
-2.0441 -2.0441 5.4670
```

It is two that is most stable; the runner-up trails by 77 meV per atom.

--- one ---
SiPbCl: relaxed, PBEsol. Values from VASP.

* space-group type: P-6m2, No. 187
* crystal system: hexagonal

Structure (Quantum ESPRESSO input):
```
&SYSTEM
  ibrav = 0, nat = 3, ntyp = 3
/
ATOMIC_SPECIES
Si 28.09 Si.upf
Pb 207.20 Pb.upf
Cl 35.45 Cl.upf
ATOMIC_POSITIONS crystal
Si 0.1668 0.6667 0.3333
Pb 0.6660 0.3333 0.6667
Cl 0.1672 0.0000 0.0000
CELL_PARAMETERS angstrom
3.1669 0.0000 0.0000
0.0000 4.9046 0.0000
0.0000 -2.4523 4.2475
```

--- two ---
SiPbCl: relaxed, PBEsol. Values from VASP.

* space-group type: I4mm, No. 107
* crystal system: tetragonal

Structure (Quantum ESPRESSO input):
```
&SYSTEM
  ibrav = 0, nat = 3, ntyp = 3
/
ATOMIC_SPECIES
Cl 35.45 Cl.upf
Pb 207.20 Pb.upf
Si 28.09 Si.upf
ATOMIC_POSITIONS crystal
Cl 0.9774 0.9774 0.9547
Pb 0.6790 0.6790 0.3581
Si 0.3436 0.3436 0.6872
CELL_PARAMETERS angstrom
-0.2720 3.1930 -0.4483
-1.0476 -0.5131 -3.0182
-5.4364 -1.5571 3.8862
```

It is one that is most stable; the runner-up trails by 34 meV per atom.

--- one ---
Si2PbCl: relaxed, PBEsol. Values from VASP.

* space-group type: I-42d, No. 122
* crystal system: tetragonal

Structure (Quantum ESPRESSO input):
```
&SYSTEM
  ibrav = 0, nat = 8, ntyp = 3
/
ATOMIC_SPECIES
Cl 35.45 Cl.upf
Si 28.09 Si.upf
Pb 207.20 Pb.upf
ATOMIC_POSITIONS crystal
Cl 0.7500 0.2500 0.5000
Cl 0.5000 0.5000 0.0000
Si 0.9407 0.3750 0.2500
Si 0.1250 0.0593 0.7500
Si 0.3093 0.8750 0.2500
Si 0.6250 0.6907 0.7500
Pb 0.2500 0.7500 0.5000
Pb 0.0000 0.0000 0.0000
CELL_PARAMETERS angstrom
3.9403 0.0000 0.0000
0.0000 3.9403 0.0000
-1.9701 -1.9701 11.9329
```

--- two ---
Si2PbCl: relaxed, PBEsol. Values from VASP.

* space-group type: Pm, No. 6
* crystal system: monoclinic

Structure (Quantum ESPRESSO input):
```
&SYSTEM
  ibrav = 0, nat = 4, ntyp = 3
/
ATOMIC_SPECIES
Cl 35.45 Cl.upf
Si 28.09 Si.upf
Pb 207.20 Pb.upf
ATOMIC_POSITIONS crystal
Cl 0.0000 0.9777 0.4668
Si 0.0000 0.0533 0.1240
Si 0.5000 0.3585 0.1399
Pb 0.5000 0.6104 0.7693
CELL_PARAMETERS angstrom
-2.0755 -1.1603 -2.9845
2.9033 -3.4035 -0.6959
-4.3819 -1.4696 3.6186
```

--- three ---
Si2PbCl: relaxed, PBEsol. Values from VASP.

* space-group type: Cmmm, No. 65
* crystal system: orthorhombic

Structure (Quantum ESPRESSO input):
```
&SYSTEM
  ibrav = 0, nat = 4, ntyp = 3
/
ATOMIC_SPECIES
Pb 207.20 Pb.upf
Cl 35.45 Cl.upf
Si 28.09 Si.upf
ATOMIC_POSITIONS crystal
Pb 0.5000 0.5000 0.0000
Cl 0.5000 0.0000 0.0000
Si 0.0000 0.0000 0.5000
Si 0.0000 0.5000 0.5000
CELL_PARAMETERS angstrom
-0.6389 2.9418 -0.3649
-3.4929 -0.2645 3.9828
5.6897 1.4283 1.5530
```

--- four ---
Si2PbCl: relaxed, PBEsol. Values from VASP.

* space-group type: I4/mmm, No. 139
* crystal system: tetragonal

Structure (Quantum ESPRESSO input):
```
&SYSTEM
  ibrav = 0, nat = 4, ntyp = 3
/
ATOMIC_SPECIES
Pb 207.20 Pb.upf
Si 28.09 Si.upf
Cl 35.45 Cl.upf
ATOMIC_POSITIONS crystal
Pb 0.0000 0.0000 0.0000
Si 0.7500 0.2500 0.5000
Si 0.2500 0.7500 0.5000
Cl 0.5000 0.5000 0.0000
CELL_PARAMETERS angstrom
3.8695 0.0000 0.0000
0.0000 3.8695 0.0000
-1.9347 -1.9347 5.9611
```

It is two that is most stable; the runner-up trails by 245 meV per atom.

--- one ---
SiPb2Cl: relaxed, PBEsol. Values from VASP.

* space-group type: F-43m, No. 216
* crystal system: cubic

Structure (Quantum ESPRESSO input):
```
&SYSTEM
  ibrav = 0, nat = 4, ntyp = 3
/
ATOMIC_SPECIES
Pb 207.20 Pb.upf
Cl 35.45 Cl.upf
Si 28.09 Si.upf
ATOMIC_POSITIONS crystal
Pb 0.2500 0.2500 0.2500
Pb 0.0000 0.0000 0.0000
Cl 0.5000 0.5000 0.5000
Si 0.7500 0.7500 0.7500
CELL_PARAMETERS angstrom
5.1326 0.0000 0.0000
2.5663 4.4449 0.0000
2.5663 1.4816 4.1907
```

--- two ---
SiPb2Cl: relaxed, PBEsol. Values from VASP.

* space-group type: R-3m, No. 166
* crystal system: trigonal

Structure (Quantum ESPRESSO input):
```
&SYSTEM
  ibrav = 0, nat = 4, ntyp = 3
/
ATOMIC_SPECIES
Si 28.09 Si.upf
Pb 207.20 Pb.upf
Cl 35.45 Cl.upf
ATOMIC_POSITIONS crystal
Si 0.5000 0.5000 0.5000
Pb 0.7494 0.7494 0.7519
Pb 0.2506 0.2506 0.2481
Cl 0.0000 0.0000 0.0000
CELL_PARAMETERS angstrom
-1.1518 -3.2215 0.2792
2.1889 -2.6327 -0.2452
1.7750 -1.6434 9.4631
```

It is two that is most stable; the runner-up trails by 154 meV per atom.

--- one ---
SrPb2Cl: relaxed, PBEsol. Values from VASP.

* space-group type: Cmmm, No. 65
* crystal system: orthorhombic

Structure (Quantum ESPRESSO input):
```
&SYSTEM
  ibrav = 0, nat = 4, ntyp = 3
/
ATOMIC_SPECIES
Pb 207.20 Pb.upf
Sr 87.62 Sr.upf
Cl 35.45 Cl.upf
ATOMIC_POSITIONS crystal
Pb 0.0000 0.0000 0.5000
Pb 0.0000 0.5000 0.5000
Sr 0.5000 0.0000 0.0000
Cl 0.5000 0.5000 0.0000
CELL_PARAMETERS angstrom
3.6348 0.0000 0.0000
0.0000 5.8504 0.0000
0.0000 -2.9252 5.9925
```

--- two ---
SrPb2Cl: relaxed, PBEsol. Values from VASP.

* space-group type: Pmmm, No. 47
* crystal system: orthorhombic

Structure (Quantum ESPRESSO input):
```
&SYSTEM
  ibrav = 0, nat = 4, ntyp = 3
/
ATOMIC_SPECIES
Pb 207.20 Pb.upf
Cl 35.45 Cl.upf
Sr 87.62 Sr.upf
ATOMIC_POSITIONS crystal
Pb 0.0000 0.0000 0.7556
Pb 0.0000 0.0000 0.2444
Cl 0.5000 0.5000 0.5000
Sr 0.5000 0.5000 0.0000
CELL_PARAMETERS angstrom
3.7775 0.0000 0.0000
0.0000 5.7628 0.0000
0.0000 0.0000 5.8720
```

It is two that is most stable; the runner-up trails by 94 meV per atom.

--- one ---
Sr2PbCl: relaxed, PBEsol. Values from VASP.

* space-group type: I-4m2, No. 119
* crystal system: tetragonal

Structure (Quantum ESPRESSO input):
```
&SYSTEM
  ibrav = 0, nat = 4, ntyp = 3
/
ATOMIC_SPECIES
Pb 207.20 Pb.upf
Sr 87.62 Sr.upf
Cl 35.45 Cl.upf
ATOMIC_POSITIONS crystal
Pb 0.2500 0.7500 0.5000
Sr 0.0000 0.0000 0.0000
Sr 0.7500 0.2500 0.5000
Cl 0.5000 0.5000 0.0000
CELL_PARAMETERS angstrom
4.5141 0.0000 0.0000
0.0000 4.5141 0.0000
-2.2571 -2.2571 6.6172
```

--- two ---
Sr2PbCl: relaxed, PBEsol. Values from VASP.

* space-group type: P4mm, No. 99
* crystal system: tetragonal

Structure (Quantum ESPRESSO input):
```
&SYSTEM
  ibrav = 0, nat = 4, ntyp = 3
/
ATOMIC_SPECIES
Sr 87.62 Sr.upf
Pb 207.20 Pb.upf
Cl 35.45 Cl.upf
ATOMIC_POSITIONS crystal
Sr 0.7488 0.0000 0.0000
Sr 0.7495 0.5000 0.5000
Pb 0.2496 0.5000 0.0000
Cl 0.7521 0.0000 0.5000
CELL_PARAMETERS angstrom
3.8843 0.0000 0.0000
0.0000 5.8300 0.0000
0.0000 0.0000 5.8302
```

It is two that is most stable; the runner-up trails by 364 meV per atom.

--- one ---
Tc2PbCl: relaxed, PBEsol. Values from VASP.

* space-group type: F-43m, No. 216
* crystal system: cubic

Structure (Quantum ESPRESSO input):
```
&SYSTEM
  ibrav = 0, nat = 4, ntyp = 3
/
ATOMIC_SPECIES
Pb 207.20 Pb.upf
Tc 98.00 Tc.upf
Cl 35.45 Cl.upf
ATOMIC_POSITIONS crystal
Pb 0.2500 0.2500 0.2500
Tc 0.7500 0.7500 0.7500
Tc 0.0000 0.0000 0.0000
Cl 0.5000 0.5000 0.5000
CELL_PARAMETERS angstrom
4.6088 0.0000 0.0000
2.3044 3.9914 0.0000
2.3044 1.3305 3.7631
```

--- two ---
Tc2PbCl: relaxed, PBEsol. Values from VASP.

* space-group type: C2/m, No. 12
* crystal system: monoclinic

Structure (Quantum ESPRESSO input):
```
&SYSTEM
  ibrav = 0, nat = 4, ntyp = 3
/
ATOMIC_SPECIES
Cl 35.45 Cl.upf
Tc 98.00 Tc.upf
Pb 207.20 Pb.upf
ATOMIC_POSITIONS crystal
Cl 0.5000 0.0000 0.0000
Tc 0.2470 0.4940 0.1868
Tc 0.7530 0.5060 0.8132
Pb 0.0000 0.0000 0.5000
CELL_PARAMETERS angstrom
2.9554 0.0000 0.0000
-1.4777 4.0970 0.0077
0.0000 -1.1924 5.5929
```

It is two that is most stable; the runner-up trails by 338 meV per atom.